1.
VASP calculation (PBE-GGA) on crystalline HfTa3C3 at its relaxed geometry.

a b c (Å): 6.4203 6.4203 16.2471
angles (deg): 90.00 90.00 120.00
With the nearest neighbours (Å) after each atom.
Space group R-3 (No. 148, hexagonal axes)
Inequivalent atoms, fractional coordinates:
1 Hf 0.0000 0.0000 0.1738 [6 per cell]  6 C 2.33-2.53
2 Ta 0.0190 0.2787 0.6109 [18 per cell]  4 C 2.18-2.32
3 C 0.0079 0.3928 0.4139 [18 per cell]  4 Ta 2.18-2.32, 1 Hf 2.33

E_form, meV per atom: -132

***

2.
VASP calculation (PBE-GGA) on crystalline HfTa5C4 at its relaxed geometry.

a b c (Å): 13.7910 3.1479 6.3149
angles (deg): 90.00 104.00 90.00
With the nearest neighbours (Å) after each atom.
Space group C2/m (No. 12)
Inequivalent atoms, fractional coordinates:
1 Hf 0.0000 0.0000 0.0000 [2 per cell]  6 C 2.26
2 Ta 0.0000 0.0000 0.5000 [2 per cell]  4 C 2.20
3 Ta 0.1652 0.5000 0.8433 [4 per cell]  4 C 2.19-2.26
4 Ta 0.1681 0.5000 0.3278 [4 per cell]  3 C 2.19-2.20
5 C 0.0039 0.5000 0.2596 [4 per cell]  4 Ta 2.20-2.26, 2 Hf 2.26
6 C 0.1691 0.0000 0.0867 [4 per cell]  5 Ta 2.19-2.22, 1 Hf 2.26

E_form, meV per atom: -601